{"formula": "TePSe2", "functional": "SCAN", "state": "single point on PBEsol structure", "volume_a3_per_atom": 24.276, "formation_energy_uncorrected_ev_per_atom": 0.38, "sg": "I-42d", "dft_energy_ev_per_cell": -172.61, "lattice_angstrom": [[6.328, 0.068, 0.108], [-2.420, 5.847, -0.108], [-2.420, -2.649, 5.214]], "species": ["Se", "P", "Se", "Se", "Se", "Te", "P", "Te"], "frac_coords": [[0.542, 0.375, 0.417], [0.000, 0.500, 0.500], [0.958, 0.583, 0.125], [0.458, 0.875, 0.833], [0.042, 0.167, 0.625], [0.500, 0.750, 0.250], [0.500, 0.250, 0.750], [0.000, 0.000, 0.000]]}